ZnGaAu2: relaxed, PBE.

```
32
Lattice="5.684 0.000 0.000 0.000 6.105 0.000 0.000 0.000 17.338" Properties=species:S:1:pos:R:3 pbc="T T T"
Au 0.000 4.579 7.658
Au 0.000 1.526 14.030
Au 2.842 1.526 14.030
Au 2.842 1.526 5.360
Au 5.684 1.526 9.680
Au 2.842 4.579 16.327
Au 2.842 4.579 11.978
Au 0.000 1.526 1.011
Au 2.842 1.526 9.680
Au 2.842 1.526 1.011
Au 2.842 4.579 7.658
Au 2.842 4.579 3.309
Au 5.684 4.579 3.309
Au 5.684 1.526 5.360
Au 0.000 4.579 11.978
Au 5.684 4.579 16.327
Ga 1.421 0.776 16.172
Ga 1.421 3.828 9.836
Ga 4.263 5.330 1.167
Ga 1.421 0.776 7.502
Ga 4.263 5.330 9.836
Ga 4.263 2.277 7.502
Ga 4.263 2.277 16.172
Ga 1.421 3.828 1.167
Zn 4.263 5.243 14.137
Zn 1.421 3.915 5.468
Zn 1.421 3.915 14.137
Zn 1.421 0.862 11.871
Zn 1.421 0.862 3.202
Zn 4.263 2.190 3.202
Zn 4.263 5.243 5.468
Zn 4.263 2.190 11.871
```

Results
- DOS(E_F) (states/eV per cell) = 8.8
- formation energy (meV per atom) = -178